1.
A relaxed structure of MgNiAsSe2. Source: Alexandria, functional PBE.

```
MgNiAsSe2
1.0
4.975 0.000 0.000
0.000 4.975 0.000
0.000 0.000 4.903
Ni As Mg Se
1 1 1 2
direct
0.500 0.500 0.500
0.000 0.000 0.500
0.000 0.000 0.000
0.000 0.500 0.000
0.500 0.000 0.000
```

Computed properties:
The relative energy among the computed polymorphs comes out at 735 meV/atom. The value obtained for the formation energy from raw total energies is 0.78 eV per atom. As for the electronic total energy: -15.1 eV for the cell shown. As for the calculated density: 4.32 Mg/m³.



2.
A relaxed structure of Mg3SiNi9As2. Source: Alexandria, functional PBE.

```
Mg3SiNi9As2
1.0
5.965 0.000 0.000
-2.983 5.166 0.000
0.000 0.000 7.889
Mg Si Ni As
3 1 9 2
direct
0.333 0.667 0.720
0.000 0.000 0.000
0.667 0.333 0.280
0.000 0.000 0.500
0.867 0.133 0.724
0.867 0.735 0.724
0.265 0.133 0.724
0.735 0.867 0.276
0.133 0.265 0.276
0.133 0.867 0.276
0.500 0.000 0.000
0.000 0.500 0.000
0.500 0.500 0.000
0.333 0.667 0.194
0.667 0.333 0.806
```

Computed properties:
The value obtained for the formation energy from raw total energies is -0.05 eV per atom. As for the electronic total energy: -72.2 eV for the cell shown. As for the calculated density: 5.32 Mg/m³.



3.
A relaxed structure of Sm2MgNi4As3. Source: Alexandria, functional PBE.

```
Sm2MgNi4As3
1.0
4.053 0.000 0.000
0.000 4.053 0.000
0.000 0.000 10.191
Sm Mg Ni As
2 1 4 3
direct
0.500 0.000 0.235
0.000 0.500 0.765
0.500 0.500 0.500
0.500 0.500 0.000
0.000 0.000 0.000
0.500 0.000 0.643
0.000 0.500 0.357
0.000 0.000 0.500
0.500 0.000 0.870
0.000 0.500 0.130
```

Computed properties:
As for the electronic total energy: -55.7 eV for the cell shown. As for the calculated density: 7.78 Mg/m³. The calculation puts the energy of formation at -0.756 eV/atom.